Compound: ZrReAs2
Source: the Alexandria database
Functional: GGA-PBEsol
Structure: relaxed

Cell lengths 8.319, 8.319, 8.319 Å; angles 21.47, 21.47, 21.47 degrees
Atoms (fractional coordinates):
1 Zr 0.000 0.000 0.000
2 Re 0.500 0.500 0.500
3 As 0.241 0.241 0.241
4 As 0.759 0.759 0.759

## Properties
Space-group type = R-3m (166)
Formation energy = -0.067 eV/atom